Crystalline TbTm2Zr3N6 at its relaxed geometry. Source: the Alexandria database, functional GGA-PBE.

Cell and atoms, written as extended XYZ:
```
12
Lattice="5.761 0.004 -0.001 -2.876 4.992 -0.001 -0.963 -1.668 5.480" Properties=species:S:1:pos:R:3 pbc="T T T"
Tb 0.000 0.000 0.000
Tm 0.002 3.329 -0.001
Tm 2.883 1.666 -0.001
Zr -1.912 3.323 2.739
Zr 3.834 0.005 2.739
Zr 0.961 1.664 2.739
N 2.894 1.639 4.038
N 1.909 3.306 1.443
N -0.972 1.688 1.440
N -0.026 3.326 4.038
N 0.012 0.021 4.036
N 1.948 0.001 1.440
```

Values from the calculation:
The value obtained for the raw formation energy is -2036 kJ/mol of formula units. Its space group is No. 12. For the magnetization, the calculation gives 0.0 μB/f.u.


Crystalline TbU2N4 at its relaxed geometry. Source: the Alexandria database, functional GGA-PBE.

Cell and atoms, written as extended XYZ:
```
14
Lattice="-0.706 2.958 -1.508 -0.554 -4.193 -4.145 -10.196 -1.147 2.523" Properties=species:S:1:pos:R:3 pbc="T T T"
Tb -8.197 0.029 0.074
Tb -3.259 -2.412 -3.204
U -4.609 -1.201 -0.197
U -10.493 -1.592 -2.031
U -0.962 -0.790 -1.100
U -6.846 -1.182 -2.933
N -1.937 -0.118 -3.145
N -4.852 -0.447 -2.424
N -9.519 -2.264 0.015
N -6.604 -1.936 -0.707
N -8.841 -1.900 -3.408
N -2.614 -0.483 0.277
N -0.353 1.479 -0.754
N -5.451 0.905 0.507
```

Values from the calculation:
The value obtained for the raw formation energy is -945 kJ/mol of formula units. Its space group is No. 63. For the magnetization, the calculation gives 2.6 μB/f.u.


Crystalline Tb2UN at its relaxed geometry. Source: the Alexandria database, functional GGA-PBE.

Cell and atoms, written as extended XYZ:
```
4
Lattice="3.295 0.000 0.000 1.647 2.853 0.000 1.647 0.951 9.532" Properties=species:S:1:pos:R:3 pbc="T T T"
Tb 1.647 0.951 6.167
Tb 4.942 2.853 3.366
U 0.000 0.000 0.000
N 3.295 1.902 4.766
```

Values from the calculation:
The value obtained for the raw formation energy is -143 kJ/mol of formula units. Its space group is No. 166. For the magnetization, the calculation gives 2.0 μB/f.u.


Crystalline TbU2N3 at its relaxed geometry. Source: the Alexandria database, functional GGA-PBE.

Cell and atoms, written as extended XYZ:
```
6
Lattice="2.354 6.067 4.136 -1.949 4.563 5.903 0.956 -6.816 -3.477" Properties=species:S:1:pos:R:3 pbc="T T T"
Tb 0.000 0.000 0.000
U 0.269 7.078 6.685
U 0.135 3.552 3.354
N 0.202 5.315 5.020
N 0.337 8.857 8.365
N 0.067 1.772 1.674
```

Values from the calculation:
The value obtained for the raw formation energy is -816 kJ/mol of formula units. Its space group is No. 139. For the magnetization, the calculation gives 3.1 μB/f.u.